# 1
Density functional theory data (PBE-GGA) for a geometry-optimized Rb2CaI structure.

Cell: 6.959 6.959 6.959 Å, 60.00 60.00 60.00°
Positions (direct):
Rb (0.250, 0.250, 0.250)
Rb (0.750, 0.750, 0.750)
Ca (0.000, 0.000, 0.000)
I (0.500, 0.500, 0.500)

Relative energy among the computed polymorphs   236.8 meV/atom

---

# 2
Density functional theory data (PBE-GGA) for a geometry-optimized Rb2CaI7 structure.

Cell: 8.757 8.757 9.349 Å, 62.07 62.07 90.00°
Positions (direct):
I (0.283, 0.283, 0.434)
I (0.753, 0.247, 0.000)
I (0.753, 0.753, 0.000)
I (0.000, 0.000, 0.000)
I (0.717, 0.717, 0.566)
I (0.247, 0.247, 0.000)
I (0.247, 0.753, 0.000)
Rb (0.250, 0.750, 0.500)
Rb (0.750, 0.250, 0.500)
Ca (0.500, 0.500, 0.000)

Total DFT energy (no corrections)   -2.359 eV/atom

---

# 3
Density functional theory data (PBE-GGA) for a geometry-optimized Rb4Ca3I10 structure.

Cell: 6.189 6.189 21.971 Å, 98.10 98.10 90.00°
Positions (direct):
Ca (0.000, 0.000, 0.000)
Ca (0.145, 0.145, 0.291)
Ca (0.855, 0.855, 0.709)
I (0.928, 0.928, 0.857)
I (0.500, 0.000, 0.000)
I (0.359, 0.859, 0.719)
I (0.216, 0.216, 0.432)
I (0.641, 0.141, 0.281)
I (0.072, 0.072, 0.143)
I (0.141, 0.641, 0.281)
I (0.784, 0.784, 0.568)
I (0.859, 0.359, 0.719)
I (0.000, 0.500, 0.000)
Rb (0.699, 0.699, 0.399)
Rb (0.431, 0.431, 0.863)
Rb (0.301, 0.301, 0.601)
Rb (0.569, 0.569, 0.137)

Total DFT energy (no corrections)   -3.022 eV/atom

---

# 4
Density functional theory data (PBE-GGA) for a geometry-optimized Rb3Ca2I7 structure.

Cell: 6.209 6.113 15.898 Å, 90.00 101.26 90.00°
Positions (direct):
I (0.903, 0.500, 0.807)
I (0.199, 0.000, 0.399)
I (0.097, 0.500, 0.193)
I (0.000, 0.000, 0.000)
I (0.801, 0.000, 0.601)
I (0.596, 0.000, 0.191)
I (0.404, 0.000, 0.809)
Ca (0.898, 0.000, 0.796)
Ca (0.102, 0.000, 0.204)
Rb (0.676, 0.500, 0.352)
Rb (0.324, 0.500, 0.648)
Rb (0.500, 0.500, 0.000)

Total DFT energy (no corrections)   -2.981 eV/atom

---

# 5
Density functional theory data (PBE-GGA) for a geometry-optimized RbCa3I structure.

Cell: 6.391 6.391 6.391 Å, 90.00 90.00 90.00°
Positions (direct):
I (0.000, 0.000, 0.000)
Ca (0.000, 0.000, 0.500)
Ca (0.000, 0.500, 0.000)
Ca (0.500, 0.000, 0.000)
Rb (0.500, 0.500, 0.500)

Relative energy among the computed polymorphs   0.0 meV/atom

---

# 6
Density functional theory data (PBE-GGA) for a geometry-optimized Rb3CaI structure.

Cell: 7.144 7.144 7.144 Å, 90.00 90.00 90.00°
Positions (direct):
I (0.000, 0.000, 0.000)
Ca (0.500, 0.500, 0.500)
Rb (0.500, 0.000, 0.000)
Rb (0.000, 0.000, 0.500)
Rb (0.000, 0.500, 0.000)

Relative energy among the computed polymorphs   0.0 meV/atom

---

# 7
Density functional theory data (PBE-GGA) for a geometry-optimized Rb3CaI6 structure.

Cell: 9.256 9.256 9.256 Å, 60.00 60.00 90.00°
Positions (direct):
I (0.735, 0.265, 0.000)
I (0.735, 0.735, 0.000)
I (0.735, 0.735, 0.530)
I (0.265, 0.265, 0.470)
I (0.265, 0.735, 0.000)
I (0.265, 0.265, 0.000)
Rb (0.250, 0.750, 0.500)
Rb (0.000, 0.000, 0.000)
Rb (0.750, 0.250, 0.500)
Ca (0.500, 0.500, 0.000)

Total DFT energy (no corrections)   -2.643 eV/atom

---

# 8
Density functional theory data (PBE-GGA) for a geometry-optimized Rb2CaI4 structure.

Cell: 4.742 9.983 9.627 Å, 131.44 104.26 90.00°
Positions (direct):
I (0.944, 0.232, 0.888)
I (0.653, 0.244, 0.307)
I (0.347, 0.756, 0.693)
I (0.056, 0.768, 0.112)
Rb (0.350, 0.377, 0.700)
Rb (0.650, 0.623, 0.300)
Ca (0.000, 0.000, 0.000)

Relative energy among the computed polymorphs   14.3 meV/atom

---

# 9
Density functional theory data (PBE-GGA) for a geometry-optimized Rb2Ca2I structure.

Cell: 8.632 8.632 7.629 Å, 90.00 90.00 90.00°
Positions (direct):
Rb (0.671, 0.829, 0.500)
Rb (0.329, 0.171, 0.500)
Rb (0.829, 0.329, 0.500)
Rb (0.171, 0.671, 0.500)
I (0.000, 0.000, 0.000)
I (0.500, 0.500, 0.000)
Ca (0.654, 0.154, 0.000)
Ca (0.154, 0.346, 0.000)
Ca (0.846, 0.654, 0.000)
Ca (0.346, 0.846, 0.000)

Total DFT energy (no corrections)   -1.709 eV/atom

---

# 10
Density functional theory data (PBE-GGA) for a geometry-optimized Rb2CaI4 structure.

Cell: 6.164 6.164 10.286 Å, 72.57 72.57 90.00°
Positions (direct):
I (0.000, 0.500, 0.000)
I (0.833, 0.833, 0.334)
I (0.167, 0.167, 0.666)
I (0.500, 0.000, 0.000)
Ca (0.000, 0.000, 0.000)
Rb (0.639, 0.639, 0.723)
Rb (0.361, 0.361, 0.277)

Relative energy among the computed polymorphs   30.1 meV/atom

---

# 11
Density functional theory data (PBE-GGA) for a geometry-optimized RbCa3I structure.

Cell: 7.300 7.300 7.300 Å, 90.00 90.00 90.00°
Positions (direct):
I (0.500, 0.500, 0.500)
Rb (0.000, 0.000, 0.000)
Ca (0.500, 0.000, 0.000)
Ca (0.000, 0.500, 0.000)
Ca (0.000, 0.000, 0.500)

Relative energy among the computed polymorphs   676.0 meV/atom

---

# 12
Density functional theory data (PBE-GGA) for a geometry-optimized Rb2Ca3I8 structure.

Cell: 8.072 9.338 10.103 Å, 117.53 105.67 90.00°
Positions (direct):
Ca (0.000, 0.743, 0.000)
Ca (0.000, 0.257, 0.000)
Ca (0.500, 0.000, 0.000)
I (0.393, 0.336, 0.207)
I (0.901, 0.101, 0.202)
I (0.393, 0.871, 0.207)
I (0.607, 0.664, 0.793)
I (0.948, 0.611, 0.221)
I (0.607, 0.129, 0.793)
I (0.052, 0.389, 0.779)
I (0.099, 0.899, 0.798)
Rb (0.335, 0.264, 0.528)
Rb (0.665, 0.736, 0.472)

Total DFT energy (no corrections)   -3.148 eV/atom

---

Number 1: density of states at the Fermi level 1.20 states/eV/atom. Number 2: density of states at the Fermi level 0.68 states/eV/atom. Number 3: density of states at the Fermi level 0.00 states/eV/atom. Number 4: density of states at the Fermi level 0.00 states/eV/atom. Number 5: density of states at the Fermi level 1.21 states/eV/atom. Number 6: density of states at the Fermi level 0.99 states/eV/atom. Number 7: density of states at the Fermi level 2.17 states/eV/atom. Number 8: density of states at the Fermi level 0.00 states/eV/atom. Number 9: density of states at the Fermi level 1.37 states/eV/atom. Number 10: density of states at the Fermi level 0.00 states/eV/atom. Number 11: density of states at the Fermi level 0.27 states/eV/atom. Number 12: density of states at the Fermi level 0.00 states/eV/atom.